# 1
{
  "formula": "LiAcCeAg",
  "functional": "PBE-GGA",
  "state": "relaxed",
  "crystal_system": "cubic",
  "cell": [[-4.003, -1.282, -3.495], [-1.179, -5.243, -1.002], [-4.667, -2.156, 1.860]],
  "species": ["Ac", "Ag", "Ce", "Li"],
  "frac_coords": [[0.500, 0.500, 0.500], [0.250, 0.250, 0.250], [0.000, 0.000, 0.000], [0.750, 0.750, 0.750]]
}

=====

# 2
{
  "formula": "AcCeAgOs",
  "functional": "PBE-GGA",
  "state": "relaxed",
  "crystal_system": "cubic",
  "cell": [[-0.459, 0.252, 5.185], [4.058, -1.210, 3.037], [2.473, 3.740, 2.656]],
  "species": ["Ac", "Os", "Ag", "Ce"],
  "frac_coords": [[0.500, 0.500, 0.500], [0.750, 0.750, 0.750], [0.250, 0.250, 0.250], [0.000, 0.000, 0.000]]
}

=====

Number 1: calculated formation energy 1.6 kcal/mol of atoms. Number 2: calculated formation energy 0.5 kcal/mol of atoms.